Material: Ta2AlH2
Method: DFT, GGA-PBE
State: relaxed

Unit cell a=3.560 b=3.560 c=9.054 alpha=90.00 beta=90.00 gamma=90.00
Space group I4/mmm (No. 139)
Symmetry-distinct sites (fractional):
Ta: 0.000 0.000 0.163 [4 per cell]
Al: 0.000 0.000 0.500 [2 per cell]
H: 0.000 0.500 0.250 [4 per cell]

* V: 11.47 Å³/atom
* total energy: -6.927 eV/atom

Material: Ta3AlH
Method: DFT, GGA-PBE
State: relaxed

Unit cell a=5.661 b=4.624 c=5.669 alpha=90.00 beta=98.85 gamma=90.00
Space group P2_1/m (No. 11)
Symmetry-distinct sites (fractional):
Ta: 0.093 0.250 0.138 [2 per cell]
Ta: 0.169 0.250 0.659 [2 per cell]
Ta: 0.325 0.750 0.392 [2 per cell]
Al: 0.402 0.750 0.911 [2 per cell]
H: 0.357 0.250 0.403 [2 per cell]

* energy relative to the lowest polymorph listed for this composition: 66 meV/atom
* V: 14.66 Å³/atom
* total energy: -8.569 eV/atom

Material: Ta6AlH
Method: DFT, GGA-PBE
State: relaxed

Unit cell a=4.794 b=5.370 c=5.409 alpha=95.71 beta=111.34 gamma=92.21
Space group P-1 (No. 2)
Symmetry-distinct sites (fractional):
Ta: 0.067 0.286 0.140 [2 per cell]
Ta: 0.215 0.856 0.426 [2 per cell]
Ta: 0.379 0.425 0.722 [2 per cell]
Al: 0.500 0.000 0.000 [1 per cell]
H: 0.000 0.500 0.500 [1 per cell]

* V: 16.08 Å³/atom
* total energy: -9.793 eV/atom

Material: Ta5Al3H12
Method: DFT, GGA-PBE
State: relaxed

Unit cell a=11.072 b=11.072 c=11.072 alpha=90.00 beta=90.00 gamma=90.00
Space group Ia-3d (No. 230)
Symmetry-distinct sites (fractional):
Ta: 0.000 0.000 0.000 [16 per cell]
Ta: 0.000 0.250 0.375 [24 per cell]
Al: 0.000 0.250 0.125 [24 per cell]
H: 0.004 0.075 0.654 [96 per cell]

* V: 8.48 Å³/atom
* total energy: -5.457 eV/atom

Q: Number 2 is which compound?
A: Ta3AlH

Q: Among the records above, which one has the lowest V?
A: Ta5Al3H12

Q: The lowest V belongs to which entry?
A: Ta5Al3H12

Q: Which value of total energy does entry 2 give?
A: -8.569 eV/atom